# 1
A plane-wave DFT calculation with PBE-GGA was carried out for a relaxed LaAuF2 crystal.

Results
Uncorrected formation energy, meV/atom: -2524
D(E_F), states/eV per cell: 0.000
Space group: I-42d
Calculated density, Mg/m³: 6.40
Total magnetization, μB per formula unit: 0.0

Lattice parameters (Å, degrees): 5.0681 5.0681 8.3584 72.35 72.35 90.00
Closest atoms and distances in Å follow each position.
Element x y z (fractional)
F1 0.4184 0.1250 0.2500  2 La 2.28
F2 0.3316 0.6250 0.2500  2 La 2.28
F3 0.3750 0.5816 0.7500  2 La 2.28
F4 0.8750 0.6684 0.7500  2 La 2.28
Au1 0.0000 0.0000 0.0000  8 F 3.24-3.57, 4 La 3.58
Au2 0.7500 0.2500 0.5000  8 F 3.24-3.57, 4 La 3.58
La1 0.5000 0.5000 0.0000  4 F 2.28
La2 0.2500 0.7500 0.5000  4 F 2.28


# 2
A plane-wave DFT calculation with PBE-GGA was carried out for a relaxed TiH12N3F7 crystal.

Results
D(E_F), states/eV per cell: 0.000
Uncorrected energy, eV per atom: -4.92
Space group: P1
Calculated density, Mg/m³: 1.43
Total magnetization, μB per formula unit: 0.1

Lattice parameters (Å, degrees): 7.2832 7.5231 8.4228 124.34 105.62 112.39
Closest atoms and distances in Å follow each position.
Element x y z (fractional)
Ti1 0.3283 0.8460 0.1391  4 F 1.80-1.94, 1 N 1.99
H1 0.9292 0.0430 0.5966  1 H 0.75
H2 0.6139 0.8667 0.9974  1 N 1.02
H3 0.8933 0.0768 0.9057  1 H 0.75
H4 0.1710 0.5340 0.6553  1 N 1.05
H5 0.0563 0.8943 0.8107  1 N 1.02
H6 0.0624 0.7159 0.5592  1 N 1.03
H7 0.4967 0.9540 0.5808  1 F 0.97
H8 0.6203 0.1342 0.0853  1 N 1.03
H9 0.9168 0.5681 0.1583  1 F 0.99
H10 0.0245 0.1762 0.0238  1 H 0.75
H11 0.2260 0.2271 0.3558  1 F 0.99
H12 0.8269 0.8858 0.4719  1 H 0.75
N1 0.1604 0.6770 0.7792  1 H 1.05
N2 0.0796 0.7587 0.7052  2 H 1.02-1.03
N3 0.5599 0.9774 0.0742  2 H 1.02-1.03
F1 0.5238 0.0565 0.4685  1 H 1.53
F2 0.8658 0.5221 0.2367  1 H 0.99
F3 0.4641 0.8758 0.6401  1 H 0.97
F4 0.1440 0.2599 0.4325  1 H 0.99
F5 0.9983 0.6391 0.0507  1 H 1.43
F6 0.3247 0.1427 0.2237  1 H 1.46
F7 0.3211 0.5515 0.0089  1 Ti 1.80


# 3
A plane-wave DFT calculation with PBE-GGA was carried out for a relaxed Ba3Ac3PuO8 crystal.

Results
Uncorrected formation energy, meV/atom: -2703
D(E_F), states/eV per cell: 11.080
Space group: R-3m
Calculated density, Mg/m³: 7.64
Total magnetization, μB per formula unit: 5.3

Lattice parameters (Å, degrees): 7.5972 7.5968 7.7343 119.42 89.99 120.00
Closest atoms and distances in Å follow each position.
Element x y z (fractional)
Ba1 0.0000 0.0000 0.0000  6 O 2.85-2.88
Ba2 0.0000 0.5000 0.0000  6 O 2.85-2.88
Ba3 0.5000 0.5000 0.0000  6 O 2.85-2.89
Ac1 0.5000 0.0000 0.5000  6 O 2.58-2.59
Ac2 0.5000 0.5000 0.5000  6 O 2.59
Ac3 0.0000 0.5000 0.5000  6 O 2.59
Pu1 0.0000 0.0000 0.5000  6 O 2.36
O1 0.2617 0.5234 0.2851  3 Ac 2.58-2.59, 3 Ba 2.85
O2 0.7383 0.4766 0.7149  3 Ac 2.58-2.59, 3 Ba 2.85
O3 0.7824 0.5647 0.3083  1 Pu 2.36, 2 Ac 2.59
O4 0.2176 0.4353 0.6917  1 Pu 2.36, 2 Ac 2.59
O5 0.7823 0.0257 0.3081  1 Pu 2.36, 2 Ac 2.59
O6 0.2177 0.9743 0.6919  1 Pu 2.36, 2 Ac 2.59
O7 0.2436 0.0259 0.3082  1 Pu 2.36, 2 Ac 2.59
O8 0.7564 0.9741 0.6918  1 Pu 2.36, 2 Ac 2.59


# 4
A plane-wave DFT calculation with PBE-GGA was carried out for a relaxed Sc4SnSbH crystal.

Results
D(E_F), states/eV per cell: 13.221
Uncorrected energy, eV per atom: -5.95
Space group: Cmcm
Calculated density, Mg/m³: 4.96
Total magnetization, μB per formula unit: 1.1

Lattice parameters (Å, degrees): 5.9815 5.9860 8.4275 90.00 110.79 90.00
Closest atoms and distances in Å follow each position.
Element x y z (fractional)
Sc1 0.9257 0.2500 0.8514  3 Sn 2.93-3.05, 2 Sb 3.05
Sc2 0.4236 0.7500 0.8473  1 H 2.15
Sc3 0.0743 0.7500 0.1486  3 Sn 2.93-3.05, 2 Sb 3.05
Sc4 0.5764 0.2500 0.1527  1 H 2.15
Sc5 0.5000 0.5000 0.5000  2 H 2.19
Sc6 0.0000 0.0000 0.5000  2 H 2.19
Sc7 0.5000 0.0000 0.5000  2 H 2.19
Sc8 0.0000 0.5000 0.5000  2 H 2.19
Sn1 0.1114 0.2500 0.2228  9 Sc 2.93-3.05
Sn2 0.8886 0.7500 0.7772  9 Sc 2.93-3.05
Sb1 0.6110 0.7500 0.2221  9 Sc 2.95-3.05
Sb2 0.3890 0.2500 0.7779  9 Sc 2.95-3.05
H1 0.2871 0.7500 0.5741  5 Sc 2.15-2.19
H2 0.7129 0.2500 0.4259  5 Sc 2.15-2.19


# 5
A plane-wave DFT calculation with PBE-GGA was carried out for a relaxed Na3PaMn2Se6 crystal.

Results
Uncorrected formation energy, meV/atom: -1020
Space group: C2/m
Calculated density, Mg/m³: 5.11
Total magnetization, μB per formula unit: 10.0

Lattice parameters (Å, degrees): 6.8760 6.8760 7.3741 98.95 98.95 119.97
Closest atoms and distances in Å follow each position.
Element x y z (fractional)
Na1 0.1656 0.8344 0.5000  6 Se 2.99-3.03
Na2 0.8344 0.1656 0.5000  6 Se 2.99-3.03
Na3 0.5000 0.5000 0.5000  6 Se 2.99-3.04
Pa1 0.0000 0.0000 0.0000  6 Se 2.80
Mn1 0.3332 0.6668 0.0000  6 Se 2.74-2.75
Mn2 0.6668 0.3332 0.0000  6 Se 2.74-2.75
Se1 0.9270 0.5871 0.7799  2 Mn 2.74-2.75, 1 Pa 2.80, 3 Na 2.99-3.04
Se2 0.7332 0.7332 0.2194  2 Mn 2.74, 1 Pa 2.80, 3 Na 2.99-3.03
Se3 0.0730 0.4129 0.2201  2 Mn 2.74-2.75, 1 Pa 2.80, 3 Na 2.99-3.04
Se4 0.5871 0.9270 0.7799  2 Mn 2.74-2.75, 1 Pa 2.80, 3 Na 2.99-3.04
Se5 0.2668 0.2668 0.7806  2 Mn 2.74, 1 Pa 2.80, 3 Na 2.99-3.03
Se6 0.4129 0.0730 0.2201  2 Mn 2.74-2.75, 1 Pa 2.80, 3 Na 2.99-3.04


# 6
A plane-wave DFT calculation with PBE-GGA was carried out for a relaxed K2AgPb2 crystal.

Results
D(E_F), states/eV per cell: 5.222
DFT formation energy, meV/atom: -50
Space group: C2/c
Calculated density, Mg/m³: 5.31
Total magnetization, μB per formula unit: 0.0

Lattice parameters (Å, degrees): 7.1344 6.5350 9.6882 96.27 90.00 123.08
Closest atoms and distances in Å follow each position.
Element x y z (fractional)
K1 0.5280 0.3107 0.1602  2 Ag 3.59-3.81, 6 Pb 3.61-3.92, 1 K 4.02
K2 0.2173 0.6893 0.3398  2 Ag 3.59-3.81, 6 Pb 3.61-3.92, 1 K 4.02
K3 0.4720 0.6893 0.8398  2 Ag 3.59-3.81, 6 Pb 3.61-3.92, 1 K 4.02
K4 0.7827 0.3107 0.6602  2 Ag 3.59-3.81, 6 Pb 3.61-3.92, 1 K 4.02
Ag1 0.9551 0.0000 0.2500  4 Pb 2.94-3.00
Ag2 0.0449 0.0000 0.7500  4 Pb 2.94-3.00
Pb1 0.7359 0.7476 0.4910  2 Ag 2.94-3.00, 1 Pb 3.17
Pb2 0.9883 0.2524 0.0090  2 Ag 2.94-3.00, 1 Pb 3.17
Pb3 0.2641 0.2524 0.5090  2 Ag 2.94-3.00, 1 Pb 3.17
Pb4 0.0117 0.7476 0.9910  2 Ag 2.94-3.00, 1 Pb 3.17


# 7
A plane-wave DFT calculation with PBE-GGA was carried out for a relaxed NaLaDyCd crystal.

Results
D(E_F), states/eV per cell: 5.954
DFT formation energy, meV/atom: 18
Space group: F-43m
Calculated density, Mg/m³: 6.05
Total magnetization, μB per formula unit: 0.7

Lattice parameters (Å, degrees): 5.5343 5.5343 5.5343 60.00 60.00 60.00
Closest atoms and distances in Å follow each position.
Element x y z (fractional)
Cd1 0.7500 0.7500 0.7500  4 Dy 3.39, 4 La 3.39
La1 0.0000 0.0000 0.0000  4 Cd 3.39, 4 Na 3.39
Na1 0.2500 0.2500 0.2500  4 La 3.39, 4 Dy 3.39
Dy1 0.5000 0.5000 0.5000  4 Na 3.39, 4 Cd 3.39


# 8
A plane-wave DFT calculation with PBE-GGA was carried out for a relaxed K3Na2SnBr6 crystal.

Results
Uncorrected formation energy, meV/atom: -1349
D(E_F), states/eV per cell: 0.072
Space group: C2/m
Calculated density, Mg/m³: 3.13
Total magnetization, μB per formula unit: 1.0

Lattice parameters (Å, degrees): 8.2277 8.2277 7.5540 99.73 99.73 122.49
Closest atoms and distances in Å follow each position.
Element x y z (fractional)
K1 0.1572 0.8428 0.5000  6 Br 3.27-3.35
K2 0.8428 0.1572 0.5000  6 Br 3.27-3.35
K3 0.5000 0.5000 0.5000  6 Br 3.28-3.45
Na1 0.3279 0.6721 0.0000  6 Br 3.03-3.16
Na2 0.6721 0.3279 0.0000  6 Br 3.03-3.16
Sn1 0.0000 0.0000 0.0000  6 Br 3.10-3.37
Br1 0.9254 0.5658 0.7707  2 Na 3.03, 2 K 3.27-3.35, 1 Sn 3.37
Br2 0.7282 0.7282 0.2124  1 Sn 3.10, 2 Na 3.16, 3 K 3.28-3.35
Br3 0.0746 0.4342 0.2293  2 Na 3.03, 2 K 3.27-3.35, 1 Sn 3.37
Br4 0.5658 0.9254 0.7707  2 Na 3.03, 2 K 3.27-3.35, 1 Sn 3.37
Br5 0.2718 0.2718 0.7876  1 Sn 3.10, 2 Na 3.16, 3 K 3.28-3.35
Br6 0.4342 0.0746 0.2293  2 Na 3.03, 2 K 3.27-3.35, 1 Sn 3.37


# 9
A plane-wave DFT calculation with PBE-GGA was carried out for a relaxed HoTm4Mg crystal.

Results
D(E_F), states/eV per cell: 19.012
DFT formation energy, meV/atom: 61
Space group: C2/c
Calculated density, Mg/m³: 8.13
Total magnetization, μB per formula unit: 0.0

Lattice parameters (Å, degrees): 8.6950 6.4144 8.1754 109.70 119.41 95.96
Closest atoms and distances in Å follow each position.
Element x y z (fractional)
Ho1 0.6663 0.9163 0.8325  3 Mg 3.25-3.36, 6 Tm 3.26-3.47
Ho2 0.3337 0.0837 0.1675  3 Mg 3.25-3.36, 6 Tm 3.26-3.47
Tm1 0.2344 0.9990 0.6499  9 Tm 3.35-3.73, 1 Mg 3.45, 2 Ho 3.47-3.70
Tm2 0.9796 0.7351 0.1243  7 Tm 3.19-3.53, 2 Ho 3.26-3.40, 2 Mg 3.33-3.44
Tm3 0.0845 0.3491 0.3501  9 Tm 3.35-3.73, 1 Mg 3.45, 2 Ho 3.47-3.70
Tm4 0.3553 0.6108 0.8757  7 Tm 3.19-3.53, 2 Ho 3.26-3.40, 2 Mg 3.33-3.44
Tm5 0.7656 0.0010 0.3501  9 Tm 3.35-3.73, 1 Mg 3.45, 2 Ho 3.47-3.70
Tm6 0.9155 0.6509 0.6499  9 Tm 3.35-3.73, 1 Mg 3.45, 2 Ho 3.47-3.70
Tm7 0.0204 0.2649 0.8757  7 Tm 3.19-3.53, 2 Ho 3.26-3.40, 2 Mg 3.33-3.44
Tm8 0.6447 0.3892 0.1243  7 Tm 3.19-3.53, 2 Ho 3.26-3.40, 2 Mg 3.33-3.44
Mg1 0.4112 0.6612 0.3224  3 Ho 3.25-3.36, 6 Tm 3.33-3.45
Mg2 0.5888 0.3388 0.6776  3 Ho 3.25-3.36, 6 Tm 3.33-3.45


# 10
A plane-wave DFT calculation with PBE-GGA was carried out for a relaxed BaCa2HfZn crystal.

Results
D(E_F), states/eV per cell: 6.523
DFT formation energy, meV/atom: 679
Space group: P4/mmm
Calculated density, Mg/m³: 3.93
Total magnetization, μB per formula unit: 2.5

Lattice parameters (Å, degrees): 5.6970 5.9994 5.6970 90.00 90.00 90.00
Closest atoms and distances in Å follow each position.
Element x y z (fractional)
Zn1 0.0000 0.0000 0.0000  4 Ca 2.85, 2 Ba 3.00
Ca1 0.0000 0.0000 0.5000  2 Zn 2.85
Ca2 0.5000 0.0000 0.0000  2 Zn 2.85
Hf1 0.5000 0.5000 0.5000  4 Ba 4.03, 8 Ca 4.14
Ba1 0.0000 0.5000 0.0000  2 Zn 3.00


# 11
A plane-wave DFT calculation with PBE-GGA was carried out for a relaxed Na3PtO3 crystal.

Results
Uncorrected formation energy, meV/atom: -976
D(E_F), states/eV per cell: 10.194
Space group: P6_3/m
Calculated density, Mg/m³: 4.37
Total magnetization, μB per formula unit: 1.0

Lattice parameters (Å, degrees): 4.7331 7.6034 7.6033 120.00 90.00 90.00
Closest atoms and distances in Å follow each position.
Element x y z (fractional)
Na1 0.7500 0.8190 0.6590  4 O 2.35-2.38
Na2 0.7500 0.3410 0.1601  4 O 2.35-2.38
Na3 0.7500 0.8399 0.1810  4 O 2.35-2.38
Na4 0.2500 0.1810 0.3410  4 O 2.35-2.38
Na5 0.2500 0.6590 0.8399  4 O 2.35-2.38
Na6 0.2500 0.1601 0.8190  4 O 2.35-2.38
Pt1 0.2500 0.6667 0.3333  3 O 1.94
Pt2 0.7500 0.3333 0.6667  3 O 1.94
O1 0.2500 0.8028 0.6272  1 Pt 1.94
O2 0.2500 0.3728 0.1756  1 Pt 1.94
O3 0.2500 0.8244 0.1972  1 Pt 1.94
O4 0.7500 0.1972 0.3728  1 Pt 1.94
O5 0.7500 0.6272 0.8244  1 Pt 1.94
O6 0.7500 0.1756 0.8028  1 Pt 1.94


# 12
A plane-wave DFT calculation with PBE-GGA was carried out for a relaxed ZrIn2Fe crystal.

Results
D(E_F), states/eV per cell: 3.154
DFT formation energy, meV/atom: 77
Space group: C2/m
Calculated density, Mg/m³: 7.93
Total magnetization, μB per formula unit: 1.5

Lattice parameters (Å, degrees): 5.6310 5.6310 4.8707 64.51 64.51 34.91
Closest atoms and distances in Å follow each position.
Element x y z (fractional)
Fe1 0.7500 0.7500 0.7500  4 In 2.73, 4 Zr 2.96
In1 0.0262 0.0262 0.9738  2 Fe 2.73, 4 In 3.00-3.01
In2 0.4738 0.4738 0.5262  2 Fe 2.73, 4 In 3.00-3.01
Zr1 0.2500 0.2500 0.2500  4 Fe 2.96, 8 In 3.14-3.25